(1)
16
Lattice="3.944 2.277 6.508 -3.944 2.277 6.508 0.000 -4.554 6.508" Properties=species:S:1:pos:R:3 comment="GGA-PBE NdSm4Tm3S8, optimized geometry" raw_formation_energy_ev_per_atom=-1.982 sg="No. 166" crystal_system=trigonal pbc="T T T"
Nd 0.000 0.000 0.000
Sm -3.944 0.000 9.762
Sm -1.972 1.138 3.254
Sm 1.972 1.138 3.254
Sm 0.000 0.000 9.762
Tm -1.972 -1.138 6.508
Tm -1.972 1.138 13.017
Tm 0.000 2.277 6.508
S 0.000 -2.208 8.069
S -1.912 1.104 8.069
S 0.000 0.000 4.992
S -1.912 -1.104 11.456
S 1.912 1.104 8.069
S 0.000 0.000 14.533
S 1.912 -1.104 11.456
S 0.000 2.208 11.456



(2)
16
Lattice="4.012 2.316 6.597 -4.012 2.316 6.597 0.000 -4.632 6.597" Properties=species:S:1:pos:R:3 comment="GGA-PBE Nd4Sm3TmS8, optimized geometry" raw_formation_energy_ev_per_atom=-2.009 sg="No. 166" crystal_system=trigonal pbc="T T T"
Nd 0.000 0.000 0.000
Nd -2.006 -1.158 6.597
Nd -2.006 1.158 13.194
Nd 0.000 2.316 6.597
Sm -4.012 0.000 9.896
Sm -2.006 1.158 3.299
Sm 2.006 1.158 3.299
Tm 0.000 0.000 9.896
S 0.000 0.000 4.909
S -1.955 -1.129 11.465
S 0.000 -2.258 8.326
S -1.955 1.129 8.326
S 1.955 -1.129 11.466
S 0.000 2.258 11.466
S 1.955 1.129 8.326
S 0.000 0.000 14.883



(3)
16
Lattice="4.018 2.320 6.543 -4.018 2.320 6.543 0.000 -4.640 6.543" Properties=species:S:1:pos:R:3 comment="GGA-PBE Nd3Sm4TmS8, optimized geometry" raw_formation_energy_ev_per_atom=-2.003 sg="No. 166" crystal_system=trigonal pbc="T T T"
Nd -2.009 -1.160 6.543
Nd -2.009 1.160 13.085
Nd 0.000 2.320 6.543
Sm -4.018 0.000 9.814
Sm -2.009 1.160 3.271
Sm 2.009 1.160 3.271
Sm 0.000 0.000 9.814
Tm 0.000 0.000 0.000
S -2.075 -1.198 11.467
S 0.000 -2.396 8.161
S -2.075 1.198 8.161
S 0.000 0.000 4.869
S 0.000 0.000 14.759
S 2.075 -1.198 11.467
S 0.000 2.396 11.467
S 2.075 1.198 8.161



Copy entry 3 word for word.
16
Lattice="4.018 2.320 6.543 -4.018 2.320 6.543 0.000 -4.640 6.543" Properties=species:S:1:pos:R:3 comment="GGA-PBE Nd3Sm4TmS8, optimized geometry" raw_formation_energy_ev_per_atom=-2.003 sg="No. 166" crystal_system=trigonal pbc="T T T"
Nd -2.009 -1.160 6.543
Nd -2.009 1.160 13.085
Nd 0.000 2.320 6.543
Sm -4.018 0.000 9.814
Sm -2.009 1.160 3.271
Sm 2.009 1.160 3.271
Sm 0.000 0.000 9.814
Tm 0.000 0.000 0.000
S -2.075 -1.198 11.467
S 0.000 -2.396 8.161
S -2.075 1.198 8.161
S 0.000 0.000 4.869
S 0.000 0.000 14.759
S 2.075 -1.198 11.467
S 0.000 2.396 11.467
S 2.075 1.198 8.161



Please write out number 1 again, unchanged.
16
Lattice="3.944 2.277 6.508 -3.944 2.277 6.508 0.000 -4.554 6.508" Properties=species:S:1:pos:R:3 comment="GGA-PBE NdSm4Tm3S8, optimized geometry" raw_formation_energy_ev_per_atom=-1.982 sg="No. 166" crystal_system=trigonal pbc="T T T"
Nd 0.000 0.000 0.000
Sm -3.944 0.000 9.762
Sm -1.972 1.138 3.254
Sm 1.972 1.138 3.254
Sm 0.000 0.000 9.762
Tm -1.972 -1.138 6.508
Tm -1.972 1.138 13.017
Tm 0.000 2.277 6.508
S 0.000 -2.208 8.069
S -1.912 1.104 8.069
S 0.000 0.000 4.992
S -1.912 -1.104 11.456
S 1.912 1.104 8.069
S 0.000 0.000 14.533
S 1.912 -1.104 11.456
S 0.000 2.208 11.456